1.
Computed, not measured: a relaxed structure of SiAgRu2 at the GGA-PBE level of DFT.

The space group is I-42d (No. 122) and the conventional cell measures 3.867, 3.867 and 18.006 Å, with angles of 90.00, 90.00 and 90.00 degrees. Symmetry generates all atoms from Si at (0.000, 0.000, 0.000), Ag at (0.000, 0.000, 0.500) and Ru at (0.177, 0.250, 0.125).

2.
Computed, not measured: a relaxed structure of Si2AgRu at the GGA-PBE level of DFT.

The space group is Imm2 (No. 44) and the conventional cell measures 2.797, 3.724 and 12.355 Å, with angles of 90.00, 90.00 and 90.00 degrees. Symmetry generates all atoms from Si at (0.000, 0.000, 0.000), Si at (0.000, 0.500, 0.216), Ag at (0.000, 0.500, 0.832) and Ru at (0.000, 0.000, 0.554).

3.
Computed, not measured: a relaxed structure of SiAgRu2 at the GGA-PBE level of DFT.

The space group is P2/m (No. 10) and the conventional cell measures 2.877, 3.772 and 5.543 Å, with angles of 90.00, 101.97 and 90.00 degrees. Symmetry generates all atoms from Si at (0.000, 0.000, 0.000), Ag at (0.000, 0.000, 0.500) and Ru at (0.363, 0.500, 0.217).

4.
Computed, not measured: a relaxed structure of SiAgRu2 at the GGA-PBE level of DFT.

The space group is Pmm2 (No. 25) and the conventional cell measures 2.800, 3.764 and 5.652 Å, with angles of 90.00, 90.00 and 90.00 degrees. Symmetry generates all atoms from Si at (0.000, 0.000, 0.000), Ag at (0.500, 0.500, 0.281), Ru at (0.000, 0.000, 0.571) and Ru at (0.500, 0.500, 0.780).

It is found that the formation energy from raw total energies values, taken in the order of the records, are 238, -15, 19, 85 kJ/mol of formula units.